Run one
Computed, not measured: a relaxed NaYMo2 crystal at the PBE level of DFT.

Properties
SG   Fm-3m, No. 225
Total magnetization   0.8 μB per cell
Crystal system   cubic

Lattice parameters (Å, degrees): 4.8523 4.8523 4.8523 60.00 60.00 60.00
Closest atoms and distances in Å follow each position.
Element x y z (fractional)
Na1 0.0000 0.0000 0.0000  8 Mo 2.97
Y1 0.5000 0.5000 0.5000  8 Mo 2.97
Mo1 0.2500 0.2500 0.2500  4 Na 2.97, 4 Y 2.97
Mo2 0.7500 0.7500 0.7500  4 Na 2.97, 4 Y 2.97

Run two
Computed, not measured: a relaxed NaYMo2 crystal at the PBE level of DFT.

Properties
SG   I-42d, No. 122
Total magnetization   0.0 μB per cell
Crystal system   tetragonal

Lattice parameters (Å, degrees): 6.2218 6.2218 6.2218 100.26 100.26 130.06
Closest atoms and distances in Å follow each position.
Element x y z (fractional)
Na1 0.0000 0.0000 0.0000  2 Y 2.63, 4 Mo 2.77
Na2 0.7500 0.2500 0.5000  2 Y 2.63, 4 Mo 2.77
Y1 0.2500 0.7500 0.5000  2 Na 2.63
Y2 0.5000 0.5000 0.0000  2 Na 2.63
Mo1 0.1018 0.6250 0.9768  2 Mo 2.65, 2 Na 2.77
Mo2 0.3750 0.3518 0.4768  2 Mo 2.65, 2 Na 2.77
Mo3 0.6482 0.1250 0.0232  2 Mo 2.65, 2 Na 2.77
Mo4 0.8750 0.8982 0.5232  2 Mo 2.65, 2 Na 2.77

Result of the stability comparison: run two is the least stable of them.

Run one
Computed, not measured: a relaxed NaY3Mo crystal at the PBE level of DFT.

Properties
SG   Pm-3m, No. 221
Total magnetization   0.0 μB per cell
Crystal system   cubic

Lattice parameters (Å, degrees): 5.4988 5.4988 5.4988 90.00 90.00 90.00
Closest atoms and distances in Å follow each position.
Element x y z (fractional)
Na1 0.0000 0.0000 0.0000  12 Y 3.89
Y1 0.0000 0.5000 0.5000  2 Mo 2.75
Y2 0.5000 0.0000 0.5000  2 Mo 2.75
Y3 0.5000 0.5000 0.0000  2 Mo 2.75
Mo1 0.5000 0.5000 0.5000  6 Y 2.75

Run two
Computed, not measured: a relaxed NaY3Mo crystal at the PBE level of DFT.

Properties
SG   Pm-3m, No. 221
Total magnetization   1.6 μB per cell
Crystal system   cubic

Lattice parameters (Å, degrees): 5.4114 5.4114 5.4114 90.00 90.00 90.00
Closest atoms and distances in Å follow each position.
Element x y z (fractional)
Na1 0.0000 0.0000 0.0000  6 Y 2.71
Y1 0.0000 0.0000 0.5000  2 Na 2.71
Y2 0.0000 0.5000 0.0000  2 Na 2.71
Y3 0.5000 0.0000 0.0000  2 Na 2.71
Mo1 0.5000 0.5000 0.5000  12 Y 3.83

Result of the stability comparison: run two is the least stable of them.

Run one
Computed, not measured: a relaxed Na3YMo crystal at the PBE level of DFT.

Properties
SG   Pm-3m, No. 221
Total magnetization   0.0 μB per cell
Crystal system   cubic

Lattice parameters (Å, degrees): 5.3780 5.3780 5.3780 90.00 90.00 90.00
Closest atoms and distances in Å follow each position.
Element x y z (fractional)
Na1 0.0000 0.0000 0.5000  2 Y 2.69
Na2 0.0000 0.5000 0.0000  2 Y 2.69
Na3 0.5000 0.0000 0.0000  2 Y 2.69
Y1 0.0000 0.0000 0.0000  6 Na 2.69
Mo1 0.5000 0.5000 0.5000  12 Na 3.80

Run two
Computed, not measured: a relaxed Na3YMo crystal at the PBE level of DFT.

Properties
SG   Pm-3m, No. 221
Total magnetization   3.1 μB per cell
Crystal system   cubic

Lattice parameters (Å, degrees): 5.5951 5.5951 5.5951 90.00 90.00 90.00
Closest atoms and distances in Å follow each position.
Element x y z (fractional)
Na1 0.0000 0.0000 0.5000  2 Mo 2.80
Na2 0.0000 0.5000 0.0000  2 Mo 2.80
Na3 0.5000 0.0000 0.0000  2 Mo 2.80
Y1 0.5000 0.5000 0.5000  12 Na 3.96
Mo1 0.0000 0.0000 0.0000  6 Na 2.80

Result of the stability comparison: run one is the least stable of them.

Run one
Computed, not measured: a relaxed NaZn2Mo crystal at the PBE level of DFT.

Properties
SG   Fm-3m, No. 225
Total magnetization   2.2 μB per cell
Crystal system   cubic

Lattice parameters (Å, degrees): 4.5913 4.5913 4.5913 60.00 60.00 60.00
Closest atoms and distances in Å follow each position.
Element x y z (fractional)
Na1 0.0000 0.0000 0.0000  8 Zn 2.81
Zn1 0.2500 0.2500 0.2500  4 Mo 2.81, 4 Na 2.81
Zn2 0.7500 0.7500 0.7500  4 Mo 2.81, 4 Na 2.81
Mo1 0.5000 0.5000 0.5000  8 Zn 2.81

Run two
Computed, not measured: a relaxed NaZn2Mo crystal at the PBE level of DFT.

Properties
SG   I-42d, No. 122
Total magnetization   3.9 μB per cell
Crystal system   tetragonal

Lattice parameters (Å, degrees): 5.8828 5.8828 5.8828 104.13 104.13 120.77
Closest atoms and distances in Å follow each position.
Element x y z (fractional)
Na1 0.0000 0.0000 0.0000  4 Zn 2.75, 2 Mo 2.91
Na2 0.7500 0.2500 0.5000  4 Zn 2.75, 2 Mo 2.91
Zn1 0.1427 0.6250 0.0177  2 Mo 2.57, 2 Na 2.75
Zn2 0.3750 0.3927 0.5177  2 Mo 2.57, 2 Na 2.75
Zn3 0.6073 0.1250 0.9823  2 Mo 2.57, 2 Na 2.75
Zn4 0.8750 0.8573 0.4823  2 Mo 2.57, 2 Na 2.75
Mo1 0.2500 0.7500 0.5000  4 Zn 2.57
Mo2 0.5000 0.5000 0.0000  4 Zn 2.57

Result of the stability comparison: run two is the least stable of them.

Run one
Computed, not measured: a relaxed NaZn2Mo2 crystal at the PBE level of DFT.

Properties
SG   P4/mbm, No. 127
Total magnetization   0.0 μB per cell
Crystal system   tetragonal

Lattice parameters (Å, degrees): 8.2619 8.2619 2.5984 90.00 90.00 90.00
Closest atoms and distances in Å follow each position.
Element x y z (fractional)
Na1 0.0000 0.0000 0.0000  2 Na 2.60
Na2 0.5000 0.5000 0.0000  2 Na 2.60
Zn1 0.1845 0.3155 0.5000  2 Zn 2.60, 6 Mo 2.76-2.81
Zn2 0.3155 0.8155 0.5000  2 Zn 2.60, 6 Mo 2.76-2.81
Zn3 0.6845 0.1845 0.5000  2 Zn 2.60, 6 Mo 2.76-2.81
Zn4 0.8155 0.6845 0.5000  2 Zn 2.60, 6 Mo 2.76-2.81
Mo1 0.1070 0.6070 0.0000  3 Mo 2.50-2.60, 2 Zn 2.76
Mo2 0.3930 0.1070 0.0000  3 Mo 2.50-2.60, 2 Zn 2.76
Mo3 0.6070 0.8930 0.0000  3 Mo 2.50-2.60, 2 Zn 2.76
Mo4 0.8930 0.3930 0.0000  3 Mo 2.50-2.60, 2 Zn 2.76

Run two
Computed, not measured: a relaxed NaZn2Mo2 crystal at the PBE level of DFT.

Properties
SG   I4/mmm, No. 139
Total magnetization   0.0 μB per cell
Crystal system   tetragonal

Lattice parameters (Å, degrees): 6.3167 6.3167 6.3167 141.78 141.78 55.16
Closest atoms and distances in Å follow each position.
Element x y z (fractional)
Na1 0.0000 0.0000 0.0000  8 Mo 3.12, 8 Zn 3.48
Zn1 0.2500 0.7500 0.5000  4 Mo 2.68, 4 Zn 2.92
Zn2 0.7500 0.2500 0.5000  4 Mo 2.68, 4 Zn 2.92
Mo1 0.4028 0.4028 0.0000  1 Mo 2.18
Mo2 0.5972 0.5972 0.0000  1 Mo 2.18

Result of the stability comparison: run two is the least stable of them.

Run one
Computed, not measured: a relaxed NaZr2Mo crystal at the PBE level of DFT.

Properties
SG   I-42d, No. 122
Total magnetization   0.8 μB per cell
Crystal system   tetragonal

Lattice parameters (Å, degrees): 10.2724 10.2724 10.2724 156.22 156.22 33.87
Closest atoms and distances in Å follow each position.
Element x y z (fractional)
Na1 0.0000 0.0000 0.0000  4 Zr 2.91, 4 Mo 2.99
Na2 0.7500 0.2500 0.5000  4 Zr 2.91, 4 Mo 2.99
Zr1 0.1467 0.6250 0.0217  2 Mo 2.84, 4 Zr 2.87-3.13, 2 Na 2.91
Zr2 0.3750 0.3967 0.5217  2 Mo 2.84, 4 Zr 2.87-3.13, 2 Na 2.91
Zr3 0.6033 0.1250 0.9783  2 Mo 2.84, 4 Zr 2.87-3.13, 2 Na 2.91
Zr4 0.8750 0.8533 0.4783  2 Mo 2.84, 4 Zr 2.87-3.13, 2 Na 2.91
Mo1 0.2500 0.7500 0.5000  4 Zr 2.84, 4 Na 2.99
Mo2 0.5000 0.5000 0.0000  4 Zr 2.84, 4 Na 2.99

Run two
Computed, not measured: a relaxed NaZr2Mo crystal at the PBE level of DFT.

Properties
SG   Fm-3m, No. 225
Total magnetization   0.0 μB per cell
Crystal system   cubic

Lattice parameters (Å, degrees): 4.8553 4.8553 4.8553 60.00 60.00 60.00
Closest atoms and distances in Å follow each position.
Element x y z (fractional)
Na1 0.0000 0.0000 0.0000  8 Zr 2.97
Zr1 0.2500 0.2500 0.2500  4 Mo 2.97, 4 Na 2.97
Zr2 0.7500 0.7500 0.7500  4 Mo 2.97, 4 Na 2.97
Mo1 0.5000 0.5000 0.5000  8 Zr 2.97

Result of the stability comparison: run one is the least stable of them.